# 1
A plane-wave DFT calculation with GGA-PBE was carried out for a geometry-optimized Th2ScGe3Pd4 structure.

## Properties
- ΔE_f (meV per atom) = -832
- VASP energy (eV/atom) = -6.41

Unit cell a=4.2431 b=4.2431 c=11.0647 alpha=90.00 beta=90.00 gamma=90.00
Closest atoms and distances in Å follow each position.
Space group P-4m2 (No. 115)
Asymmetric unit:
1 Th 0.0000 0.5000 0.2274 x2  4 Ge 3.19, 8 Pd 3.29-3.31
2 Sc 0.0000 0.0000 0.5000 x1  4 Pd 2.67
3 Ge 0.0000 0.5000 0.8705 x2  5 Pd 2.47-2.56
4 Ge 0.5000 0.5000 0.5000 x1  4 Pd 2.67
5 Pd 0.0000 0.0000 0.0000 x1  4 Ge 2.56
6 Pd 0.0000 0.5000 0.6471 x2  3 Ge 2.47-2.67, 2 Sc 2.67
7 Pd 0.5000 0.5000 0.0000 x1  4 Ge 2.56

***

# 2
A plane-wave DFT calculation with GGA-PBE was carried out for a geometry-optimized Ac2In2Au15 structure.

## Properties
- ΔE_f (meV per atom) = -345
- VASP energy (eV/atom) = -3.65

Unit cell a=9.7271 b=9.7271 c=14.7982 alpha=90.00 beta=90.00 gamma=120.00
Closest atoms and distances in Å follow each position.
Space group R-3m (No. 166, hexagonal axes)
Asymmetric unit:
1 Ac 0.0000 0.0000 0.1546 x6  12 Au 3.34-3.72, 1 In 3.63
2 In 0.0000 0.0000 0.4001 x6  1 In 2.96, 12 Au 2.98-3.31
3 Au 0.0000 0.3042 0.5000 x18  8 Au 2.87-3.18
4 Au 0.0000 0.5000 0.0000 x9  8 Au 2.88-2.89, 2 In 2.98
5 Au 0.0124 0.5062 0.6448 x18  6 Au 2.78-2.88

***

# 3
A plane-wave DFT calculation with GGA-PBE was carried out for a geometry-optimized TmPu2Al9 structure.

## Properties
- ΔE_f (meV per atom) = -273
- VASP energy (eV/atom) = -5.84

Unit cell a=5.4937 b=5.4937 c=26.5375 alpha=90.00 beta=90.00 gamma=120.00
Closest atoms and distances in Å follow each position.
Space group R-3m (No. 166, hexagonal axes)
Asymmetric unit:
1 Tm 0.0000 0.0000 0.0000 x3  18 Al 3.17-3.52
2 Pu 0.0000 0.0000 0.1443 x6  12 Al 3.19-3.23, 3 Pu 3.39
3 Al 0.0000 0.0000 0.3346 x6  6 Al 2.70-2.73
4 Al 0.0000 0.0000 0.5000 x3  6 Al 2.74
5 Al 0.0051 0.5026 0.9170 x18  7 Al 2.70-2.79

***

# 4
A plane-wave DFT calculation with GGA-PBE was carried out for a geometry-optimized Np2ScTl3S6 structure.

## Properties
- formation energy from raw total energies (meV per atom) = -1127
- VASP energy (eV/atom) = -6.47

Unit cell a=6.8860 b=11.9114 c=7.8699 alpha=90.00 beta=106.91 gamma=90.00
Closest atoms and distances in Å follow each position.
Space group C2/m (No. 12)
Asymmetric unit:
1 Np 0.0000 0.1664 0.0000 x4  6 S 2.74-2.75
2 Sc 0.0000 0.5000 0.0000 x2  6 S 2.64-2.65
3 Tl 0.0000 0.0000 0.5000 x2  6 S 3.24-3.31
4 Tl 0.0000 0.3311 0.5000 x4  6 S 3.24-3.31
5 S 0.2245 0.3391 0.1906 x8  1 Sc 2.64, 2 Np 2.74
6 S 0.2425 0.0000 0.1935 x4  1 Sc 2.65, 2 Np 2.75

***

# 5
A plane-wave DFT calculation with GGA-PBE was carried out for a geometry-optimized Ba4Hg3Pd2 structure.

## Properties
- ΔE_f (meV per atom) = -456
- VASP energy (eV/atom) = -2.56

Unit cell a=17.9730 b=4.5797 c=8.0158 alpha=90.00 beta=111.23 gamma=90.00
Closest atoms and distances in Å follow each position.
Space group C2/m (No. 12)
Asymmetric unit:
1 Ba 0.0646 0.0000 0.3517 x4  2 Pd 3.16-3.48, 2 Hg 3.49
2 Ba 0.2278 0.5000 0.1877 x4  3 Pd 3.25-3.59, 1 Hg 3.59
3 Hg 0.0000 0.5000 0.0000 x2  4 Pd 3.07, 2 Hg 3.39
4 Hg 0.1035 0.5000 0.7213 x4  2 Pd 2.97
5 Pd 0.1054 0.0000 0.9586 x4  4 Hg 2.97-3.07, 3 Ba 3.16-3.25

***

# 6
A plane-wave DFT calculation with GGA-PBE was carried out for a geometry-optimized Nd6HgPt2 structure.

## Properties
- ΔE_f (meV per atom) = -633
- VASP energy (eV/atom) = -5.19
- offset from the most stable computed form (meV per atom) = 0

Unit cell a=9.6488 b=10.1533 c=10.7706 alpha=90.00 beta=90.00 gamma=90.00
Closest atoms and distances in Å follow each position.
Space group Immm (No. 71)
Asymmetric unit:
1 Nd 0.0000 0.1962 0.2364 x8  1 Pt 2.95, 1 Hg 3.23
2 Nd 0.1961 0.5000 0.1699 x8  3 Pt 2.85-3.07
3 Nd 0.2108 0.3205 0.5000 x8  3 Pt 3.08-3.25, 1 Hg 3.33
4 Hg 0.0000 0.0000 0.0000 x2  8 Nd 3.23-3.33, 2 Pt 3.49
5 Hg 0.0000 0.0000 0.5000 x2  12 Nd 3.46-3.84
6 Pt 0.0000 0.3438 0.0000 x4  8 Nd 2.95-3.25, 1 Pt 3.17
7 Pt 0.0000 0.5000 0.3681 x4  1 Pt 2.84, 6 Nd 2.85-3.08

***

# 7
A plane-wave DFT calculation with GGA-PBE was carried out for a geometry-optimized CuOsRh structure.

## Properties
- ΔE_f (meV per atom) = 678
- VASP energy (eV/atom) = -6.88
- offset from the most stable computed form (meV per atom) = 645

Unit cell a=5.7760 b=5.7760 c=5.7760 alpha=90.00 beta=90.00 gamma=90.00
Closest atoms and distances in Å follow each position.
Space group F-43m (No. 216)
Asymmetric unit:
1 Cu 0.0000 0.0000 0.0000 x4  4 Rh 2.50
2 Os 0.0000 0.0000 0.5000 x4  4 Rh 2.50
3 Rh 0.2500 0.2500 0.7500 x4  4 Os 2.50, 4 Cu 2.50

***

# 8
A plane-wave DFT calculation with GGA-PBE was carried out for a geometry-optimized RbBaLaRe2 structure.

## Properties
- ΔE_f (meV per atom) = 1696
- VASP energy (eV/atom) = -4.85

Unit cell a=5.1035 b=5.1035 c=5.9360 alpha=90.00 beta=90.00 gamma=90.00
Closest atoms and distances in Å follow each position.
Space group P4/mmm (No. 123)
Asymmetric unit:
1 Rb 0.0000 0.0000 0.0000 x1  2 La 2.97
2 Ba 0.5000 0.5000 0.0000 x1  4 Rb 3.61, 8 Re 3.91
3 La 0.0000 0.0000 0.5000 x1  4 Re 2.55
4 Re 0.0000 0.5000 0.5000 x2  2 La 2.55

***

# 9
A plane-wave DFT calculation with GGA-PBE was carried out for a geometry-optimized AcLaPr5 structure.

## Properties
- ΔE_f (meV per atom) = 76
- VASP energy (eV/atom) = -4.63
- offset from the most stable computed form (meV per atom) = 0

Unit cell a=9.0831 b=10.3285 c=12.0211 alpha=90.00 beta=109.09 gamma=90.00
Closest atoms and distances in Å follow each position.
Space group C2/c (No. 15)
Asymmetric unit:
1 Ac 0.2500 0.2500 0.0000 x4  6 Pr 3.55-3.80
2 La 0.0000 0.2427 0.2500 x4  9 Pr 3.54-3.77
3 Pr 0.0000 0.4150 0.7500 x4  6 Pr 3.43-3.81, 1 La 3.54, 2 Ac 3.55
4 Pr 0.1224 0.0707 0.6657 x8  4 Pr 3.47-3.81, 2 La 3.67-3.77, 1 Ac 3.80
5 Pr 0.1725 0.3976 0.5358 x8  6 Pr 3.43-3.81, 2 La 3.55-3.65, 1 Ac 3.76

***

# 10
A plane-wave DFT calculation with GGA-PBE was carried out for a geometry-optimized DyMgInHg structure.

## Properties
- ΔE_f (meV per atom) = -387
- VASP energy (eV/atom) = -2.70

Unit cell a=7.2764 b=7.2764 c=7.2764 alpha=90.00 beta=90.00 gamma=90.00
Closest atoms and distances in Å follow each position.
Space group F-43m (No. 216)
Asymmetric unit:
1 Dy 0.0000 0.0000 0.0000 x4  4 In 3.15, 4 Hg 3.15
2 Mg 0.0000 0.0000 0.5000 x4  4 Hg 3.15, 4 In 3.15
3 In 0.2500 0.2500 0.2500 x4  4 Dy 3.15, 4 Mg 3.15
4 Hg 0.2500 0.2500 0.7500 x4  4 Dy 3.15, 4 Mg 3.15

***

# 11
A plane-wave DFT calculation with GGA-PBE was carried out for a geometry-optimized Cd2GaGe2 structure.

## Properties
- ΔE_f (meV per atom) = 189
- VASP energy (eV/atom) = -2.63
- offset from the most stable computed form (meV per atom) = 5

Unit cell a=4.5501 b=4.5501 c=11.3708 alpha=90.00 beta=90.00 gamma=90.00
Closest atoms and distances in Å follow each position.
Space group I4/mmm (No. 139)
Asymmetric unit:
1 Cd 0.0000 0.5000 0.2500 x4  4 Ge 2.80
2 Ga 0.0000 0.0000 0.0000 x2  8 Ge 3.44, 8 Cd 3.64
3 Ge 0.0000 0.0000 0.3930 x4  1 Ge 2.43

***

# 12
A plane-wave DFT calculation with GGA-PBE was carried out for a geometry-optimized La2BiO4 structure.

## Properties
- formation energy from raw total energies (meV per atom) = -2095
- VASP energy (eV/atom) = -6.89

Unit cell a=4.5332 b=4.5332 c=12.7608 alpha=90.00 beta=90.00 gamma=90.00
Closest atoms and distances in Å follow each position.
Space group I4/mmm (No. 139)
Asymmetric unit:
1 La 0.0000 0.0000 0.1432 x4  1 O 2.10
2 Bi 0.0000 0.0000 0.5000 x2  6 O 2.27-2.45
3 O 0.0000 0.0000 0.3078 x4  1 La 2.10
4 O 0.0000 0.5000 0.0000 x4  2 Bi 2.27

***

# 13
A plane-wave DFT calculation with GGA-PBE was carried out for a geometry-optimized La2Pr3PuSe6 structure.

## Properties
- formation energy from raw total energies (meV per atom) = -1855
- VASP energy (eV/atom) = -6.81

Unit cell a=18.5843 b=4.2503 c=8.5515 alpha=90.00 beta=103.26 gamma=90.00
Closest atoms and distances in Å follow each position.
Space group C2/m (No. 12)
Asymmetric unit:
1 La 0.1648 0.0000 0.3310 x4  6 Se 3.01-3.05
2 Pr 0.0000 0.5000 0.5000 x2  6 Se 3.02-3.06
3 Pr 0.1677 0.0000 0.8358 x4  6 Se 3.00-3.05
4 Pu 0.0000 0.5000 0.0000 x2  6 Se 2.96-2.97
5 Se 0.0017 0.0000 0.7577 x4  2 Pu 2.97, 3 Pr 3.00-3.06, 1 La 3.01
6 Se 0.1637 0.5000 0.0810 x4  1 Pu 2.96, 3 Pr 3.00-3.05, 2 La 3.01
7 Se 0.1669 0.5000 0.5848 x4  3 Pr 3.02, 3 La 3.03-3.05

***

# 14
A plane-wave DFT calculation with GGA-PBE was carried out for a geometry-optimized Mn2V4H structure.

## Properties
- VASP energy (eV/atom) = -8.13

Unit cell a=3.4605 b=3.4605 c=13.4843 alpha=90.00 beta=90.00 gamma=90.00
Closest atoms and distances in Å follow each position.
Space group I4/mmm (No. 139)
Asymmetric unit:
1 Mn 0.0000 0.0000 0.1434 x4  9 V 2.36-2.59
2 V 0.0000 0.0000 0.3187 x4  5 Mn 2.36-2.50, 1 H 2.44
3 V 0.0000 0.5000 0.0000 x4  2 H 1.73
4 H 0.0000 0.0000 0.5000 x2  4 V 1.73

***

# 15
A plane-wave DFT calculation with GGA-PBE was carried out for a geometry-optimized LaAl2Co structure.

## Properties
- ΔE_f (meV per atom) = -392
- VASP energy (eV/atom) = -5.27

Unit cell a=4.3050 b=4.3050 c=15.4956 alpha=90.00 beta=90.00 gamma=120.00
Closest atoms and distances in Å follow each position.
Space group R3m (No. 160, hexagonal axes)
Asymmetric unit:
1 La 0.0000 0.0000 0.0000 x3  1 Co 2.69
2 Al 0.0000 0.0000 0.2007 x3  3 Co 2.56, 3 Al 2.64
3 Al 0.0000 0.0000 0.4774 x3  3 Co 2.50, 3 Al 2.64
4 Co 0.0000 0.0000 0.8267 x3  6 Al 2.50-2.56, 1 La 2.69

***

# 16
A plane-wave DFT calculation with GGA-PBE was carried out for a geometry-optimized VOs2Pd structure.

## Properties
- ΔE_f (meV per atom) = -44
- VASP energy (eV/atom) = -9.24
- offset from the most stable computed form (meV per atom) = 0

Unit cell a=3.8489 b=3.8489 c=3.8259 alpha=90.00 beta=90.00 gamma=90.00
Closest atoms and distances in Å follow each position.
Space group P4/mmm (No. 123)
Asymmetric unit:
1 V 0.0000 0.0000 0.0000 x1  8 Os 2.71, 4 Pd 2.72
2 Os 0.0000 0.5000 0.5000 x2  4 Pd 2.71, 4 V 2.71, 4 Os 2.72
3 Pd 0.5000 0.5000 0.0000 x1  8 Os 2.71, 4 V 2.72

***

# 17
A plane-wave DFT calculation with GGA-PBE was carried out for a geometry-optimized Na2CuH2S2O8 structure.

## Properties
- VASP energy (eV/atom) = -5.25

Unit cell a=5.2533 b=13.8934 c=6.4856 alpha=90.00 beta=115.62 gamma=90.00
Closest atoms and distances in Å follow each position.
Space group P2_1/c (No. 14)
Asymmetric unit:
1 Na 0.0745 0.1075 0.3626 x4  5 O 2.37-2.47
2 Cu 0.5000 0.0000 0.0000 x2  2 O 2.15
3 H 0.2027 0.1874 0.8842 x4  1 O 0.99
4 S 0.2243 0.6317 0.7605 x4  3 O 1.45-1.49
5 O 0.0126 0.2167 0.8031 x4  1 H 0.99
6 O 0.1581 0.5621 0.9010 x4  1 S 1.47
7 O 0.1913 0.5907 0.5386 x4  1 S 1.49
8 O 0.4889 0.6828 0.8836 x4  1 S 1.45

***

# 18
A plane-wave DFT calculation with GGA-PBE was carried out for a geometry-optimized Ba2LaW structure.

## Properties
- ΔE_f (meV per atom) = 892
- VASP energy (eV/atom) = -4.54
- offset from the most stable computed form (meV per atom) = 159

Unit cell a=3.8945 b=3.8945 c=35.0400 alpha=90.00 beta=90.00 gamma=120.00
Closest atoms and distances in Å follow each position.
Space group R3m (No. 160, hexagonal axes)
Asymmetric unit:
1 Ba 0.0000 0.0000 0.0000 x3  3 W 3.28
2 Ba 0.0000 0.0000 0.2209 x3  6 Ba 3.89, 3 La 4.13
3 La 0.0000 0.0000 0.4554 x3  3 W 2.93
4 W 0.0000 0.0000 0.7349 x3  3 La 2.93, 3 Ba 3.28

***

# 19
A plane-wave DFT calculation with GGA-PBE was carried out for a geometry-optimized Pu2PaPb9 structure.

## Properties
- ΔE_f (meV per atom) = 1
- VASP energy (eV/atom) = -5.96

Unit cell a=5.7112 b=5.7112 c=10.8681 alpha=90.00 beta=90.00 gamma=90.00
Closest atoms and distances in Å follow each position.
Space group P4/mmm (No. 123)
Asymmetric unit:
1 Pu 0.0000 0.0000 0.1776 x2  8 Pb 3.34-3.45, 1 Pa 3.50
2 Pa 0.0000 0.0000 0.5000 x1  8 Pb 3.36, 2 Pu 3.50
3 Pb 0.0000 0.5000 0.0000 x2  6 Pb 3.38-3.67, 4 Pu 3.45
4 Pb 0.0000 0.5000 0.3379 x4  2 Pu 3.34, 6 Pb 3.36-3.67, 2 Pa 3.36
5 Pb 0.5000 0.5000 0.1659 x2  10 Pb 3.38-3.63
6 Pb 0.5000 0.5000 0.5000 x1  10 Pb 3.36-3.63

***

# 20
A plane-wave DFT calculation with GGA-PBE was carried out for a geometry-optimized Sc2Ag2Sn structure.

## Properties
- ΔE_f (meV per atom) = -352
- VASP energy (eV/atom) = -4.83
- offset from the most stable computed form (meV per atom) = 0

Unit cell a=7.6682 b=7.6682 c=3.5625 alpha=90.00 beta=90.00 gamma=90.00
Closest atoms and distances in Å follow each position.
Space group P4/mbm (No. 127)
Asymmetric unit:
1 Sc 0.1674 0.3326 0.0000 x4  6 Ag 2.84-2.90
2 Ag 0.1283 0.6283 0.5000 x4  1 Ag 2.78, 6 Sc 2.84-2.90, 2 Sn 3.02
3 Sn 0.0000 0.0000 0.5000 x2  4 Ag 3.02, 8 Sc 3.37

***

# 21
A plane-wave DFT calculation with GGA-PBE was carried out for a geometry-optimized Cu2BPb structure.

## Properties
- ΔE_f (meV per atom) = 1034
- VASP energy (eV/atom) = -3.61
- offset from the most stable computed form (meV per atom) = 466

Unit cell a=6.2741 b=6.2741 c=6.2741 alpha=90.00 beta=90.00 gamma=90.00
Closest atoms and distances in Å follow each position.
Space group Fm-3m (No. 225)
Asymmetric unit:
1 Cu 0.2500 0.2500 0.2500 x8  4 Pb 2.72, 4 B 2.72
2 B 0.0000 0.0000 0.0000 x4  8 Cu 2.72
3 Pb 0.0000 0.0000 0.5000 x4  8 Cu 2.72

***

# 22
A plane-wave DFT calculation with GGA-PBE was carried out for a geometry-optimized Rb2TaS2F4 structure.

## Properties
- formation energy from raw total energies (meV per atom) = -2298
- VASP energy (eV/atom) = -5.58

Unit cell a=11.4774 b=6.3940 c=6.0506 alpha=90.00 beta=90.00 gamma=90.00
Closest atoms and distances in Å follow each position.
Space group C2/m (No. 12)
Asymmetric unit:
1 Rb 0.1807 0.0000 0.2599 x4  4 F 2.87-2.95
2 Ta 0.0000 0.5000 0.0000 x2  4 F 1.98
3 S 0.0764 0.5000 0.3714 x4  1 S 2.34, 1 Ta 2.41
4 F 0.1130 0.2801 0.9133 x8  1 Ta 1.98

***

| no. | volume (A^3/atom) | density of states at the Fermi level (states/eV per cell) |
| --- | --- | --- |
| 1 | 19.92 | 8.9 |
| 2 | 21.27 | 26.2 |
| 3 | 19.27 | 47.6 |
| 4 | 25.73 | 43.8 |
| 5 | 34.17 | 15.0 |
| 6 | 29.31 | 36.7 |
| 7 | 16.06 | 11.4 |
| 8 | 30.92 | 5.9 |
| 9 | 38.06 | 43.5 |
| 10 | 24.08 | 3.4 |
| 11 | 23.54 | 3.1 |
| 12 | 18.73 | 7.6 |
| 13 | 27.39 | 23.5 |
| 14 | 11.53 | 10.1 |
| 15 | 20.73 | 9.0 |
| 16 | 14.17 | 2.9 |
| 17 | 14.23 | 5.4 |
| 18 | 38.36 | 18.0 |
| 19 | 29.54 | 24.5 |
| 20 | 20.95 | 5.3 |
| 21 | 15.44 | 9.0 |
| 22 | 24.67 | 3.6 |